Material: BaV2CdO8
Method: DFT, GGA+U
State: optimized geometry

Unit cell a=5.7911 b=5.7911 c=7.6604 alpha=90.00 beta=90.00 gamma=120.00
Space group P-3m1 (No. 164)
One atom of each set of equivalent atoms:
Ba (0.0000, 0.0000, 0.0000) x1
V (0.3333, 0.6667, 0.2334) x2
Cd (0.0000, 0.0000, 0.5000) x1
O (0.1665, 0.3330, 0.2986) x6
O (0.3333, 0.6667, 0.0098) x2

Raw total energy (eV for the cell shown): -77.25
DOS at the Fermi energy (states/eV/f.u.): 10.15